# MnRe2Hg SCAN single point on PBEsol structure
data_MnRe2Hg
_chemical_formula_sum 'Mn1 Re2 Hg1'
_cell_length_a 2.7922
_cell_length_b 4.6955
_cell_length_c 4.8706
_cell_angle_alpha 102.96
_cell_angle_beta 106.66
_cell_angle_gamma 90.00
_symmetry_space_group_name_H-M 'P 1'
_symmetry_Int_Tables_number 1
loop_
_symmetry_equiv_pos_as_xyz
'x,y,z'
loop_
_atom_site_label
_atom_site_type_symbol
_atom_site_fract_x
_atom_site_fract_y
_atom_site_fract_z
_atom_site_occupancy
Hg1 Hg 0.5000 0.0000 0.0000 1
Mn1 Mn 0.0000 0.5000 0.0000 1
Re1 Re 0.2679 0.2738 0.5358 1
Re2 Re 0.7321 0.7262 0.4642 1
# VASP energy, eV/atom: -56.73
# E_form, eV/atom: 0.42

***

# K4ZnCd SCAN single point on PBEsol structure
data_K4ZnCd
_chemical_formula_sum 'K4 Zn1 Cd1'
_cell_length_a 7.4440
_cell_length_b 7.4440
_cell_length_c 7.4440
_cell_angle_alpha 60.00
_cell_angle_beta 60.00
_cell_angle_gamma 60.00
_symmetry_space_group_name_H-M 'P 1'
_symmetry_Int_Tables_number 1
loop_
_symmetry_equiv_pos_as_xyz
'x,y,z'
loop_
_atom_site_label
_atom_site_type_symbol
_atom_site_fract_x
_atom_site_fract_y
_atom_site_fract_z
_atom_site_occupancy
Cd1 Cd 0.0000 0.0000 0.0000 1
K1 K 0.3749 0.3749 0.3749 1
K2 K 0.3749 0.3749 0.8753 1
K3 K 0.8753 0.3749 0.3749 1
K4 K 0.3749 0.8753 0.3749 1
Zn1 Zn 0.7500 0.7500 0.7500 1
# VASP energy, eV/atom: -12.47
# E_form, eV/atom: 0.41

***

# Ba2Ru7O18 SCAN single point on PBEsol structure
data_Ba2Ru7O18
_chemical_formula_sum 'Ba2 Ru7 O18'
_cell_length_a 6.7146
_cell_length_b 7.1037
_cell_length_c 7.5091
_cell_angle_alpha 93.42
_cell_angle_beta 94.56
_cell_angle_gamma 115.69
_symmetry_space_group_name_H-M 'P 1'
_symmetry_Int_Tables_number 1
loop_
_symmetry_equiv_pos_as_xyz
'x,y,z'
loop_
_atom_site_label
_atom_site_type_symbol
_atom_site_fract_x
_atom_site_fract_y
_atom_site_fract_z
_atom_site_occupancy
Ba1 Ba 0.3171 0.6848 0.6206 1
Ba2 Ba 0.6829 0.3152 0.3794 1
Ru1 Ru 0.3831 0.2749 0.8857 1
Ru2 Ru 0.7987 0.1268 0.8145 1
Ru3 Ru 0.2013 0.8732 0.1855 1
Ru4 Ru 0.6169 0.7251 0.1143 1
Ru5 Ru 0.0000 0.0000 0.5000 1
Ru6 Ru 0.8252 0.6207 0.8025 1
Ru7 Ru 0.1748 0.3793 0.1975 1
O1 O 0.9181 0.7305 0.5821 1
O2 O 0.2846 0.1653 0.1155 1
O3 O 0.3244 0.5148 0.9852 1
O4 O 0.4754 0.5570 0.3040 1
O5 O 0.4923 0.9087 0.1662 1
O6 O 0.9066 0.4024 0.7297 1
O7 O 0.7154 0.8347 0.8845 1
O8 O 0.9160 0.2338 0.0479 1
O9 O 0.6756 0.4852 0.0148 1
O10 O 0.0819 0.2695 0.4179 1
O11 O 0.0933 0.1325 0.7491 1
O12 O 0.7242 0.0012 0.5703 1
O13 O 0.0934 0.5976 0.2703 1
O14 O 0.9067 0.8675 0.2509 1
O15 O 0.0840 0.7662 0.9521 1
O16 O 0.5077 0.0913 0.8338 1
O17 O 0.2758 0.9988 0.4297 1
O18 O 0.5246 0.4430 0.6960 1
# VASP energy, eV/atom: -17.62
# Uncorrected formation energy, meV per atom: -1509

***

# KIn2Os SCAN single point on PBEsol structure
data_KIn2Os
_chemical_formula_sum 'K1 In2 Os1'
_cell_length_a 3.2464
_cell_length_b 5.0478
_cell_length_c 5.0478
_cell_angle_alpha 90.00
_cell_angle_beta 90.00
_cell_angle_gamma 90.00
_symmetry_space_group_name_H-M 'P 1'
_symmetry_Int_Tables_number 1
loop_
_symmetry_equiv_pos_as_xyz
'x,y,z'
loop_
_atom_site_label
_atom_site_type_symbol
_atom_site_fract_x
_atom_site_fract_y
_atom_site_fract_z
_atom_site_occupancy
In1 In 0.0000 0.0000 0.5000 1
In2 In 0.0000 0.5000 0.0000 1
K1 K 0.5000 0.5000 0.5000 1
Os1 Os 0.5000 0.0000 0.0000 1
# VASP energy, eV/atom: -35.84
# Excess energy over the best structure of this formula in the dataset, eV/atom: 0.517
# E_form, eV/atom: 0.90

***

# Re2MoAu SCAN single point on PBEsol structure
data_Re2MoAu
_chemical_formula_sum 'Re2 Mo1 Au1'
_cell_length_a 4.4279
_cell_length_b 4.4279
_cell_length_c 4.4279
_cell_angle_alpha 60.00
_cell_angle_beta 60.00
_cell_angle_gamma 60.00
_symmetry_space_group_name_H-M 'P 1'
_symmetry_Int_Tables_number 1
loop_
_symmetry_equiv_pos_as_xyz
'x,y,z'
loop_
_atom_site_label
_atom_site_type_symbol
_atom_site_fract_x
_atom_site_fract_y
_atom_site_fract_z
_atom_site_occupancy
Au1 Au 0.5000 0.5000 0.5000 1
Mo1 Mo 0.2500 0.2500 0.2500 1
Re1 Re 0.0000 0.0000 0.0000 1
Re2 Re 0.7500 0.7500 0.7500 1
# VASP energy, eV/atom: -61.08
# Excess energy over the best structure of this formula in the dataset, eV/atom: 0.136
# E_form, eV/atom: 0.48

***

# Li3SiH SCAN single point on PBEsol structure
data_Li3SiH
_chemical_formula_sum 'Li3 Si1 H1'
_cell_length_a 3.8681
_cell_length_b 3.8681
_cell_length_c 3.8681
_cell_angle_alpha 90.00
_cell_angle_beta 90.00
_cell_angle_gamma 90.00
_symmetry_space_group_name_H-M 'P 1'
_symmetry_Int_Tables_number 1
loop_
_symmetry_equiv_pos_as_xyz
'x,y,z'
loop_
_atom_site_label
_atom_site_type_symbol
_atom_site_fract_x
_atom_site_fract_y
_atom_site_fract_z
_atom_site_occupancy
H1 H 0.0000 0.0000 0.0000 1
Si1 Si 0.5000 0.5000 0.5000 1
Li1 Li 0.0000 0.5000 0.0000 1
Li2 Li 0.0000 0.0000 0.5000 1
Li3 Li 0.5000 0.0000 0.0000 1
# VASP energy, eV/atom: -4.29

***

# Tc2NiW SCAN single point on PBEsol structure
data_Tc2NiW
_chemical_formula_sum 'Tc2 Ni1 W1'
_cell_length_a 3.7762
_cell_length_b 3.7762
_cell_length_c 3.7719
_cell_angle_alpha 90.00
_cell_angle_beta 90.00
_cell_angle_gamma 90.00
_symmetry_space_group_name_H-M 'P 1'
_symmetry_Int_Tables_number 1
loop_
_symmetry_equiv_pos_as_xyz
'x,y,z'
loop_
_atom_site_label
_atom_site_type_symbol
_atom_site_fract_x
_atom_site_fract_y
_atom_site_fract_z
_atom_site_occupancy
Ni1 Ni 0.0000 0.0000 0.5000 1
Tc1 Tc 0.0000 0.5000 0.0000 1
Tc2 Tc 0.5000 0.0000 0.0000 1
W1 W 0.5000 0.5000 0.5000 1
# VASP energy, eV/atom: -39.02
# Excess energy over the best structure of this formula in the dataset, eV/atom: 0.000
# E_form, eV/atom: -0.02

***

# LiRuBr SCAN single point on PBEsol structure
data_LiRuBr
_chemical_formula_sum 'Li1 Ru1 Br1'
_cell_length_a 2.9731
_cell_length_b 3.0558
_cell_length_c 6.4589
_cell_angle_alpha 83.57
_cell_angle_beta 76.69
_cell_angle_gamma 60.89
_symmetry_space_group_name_H-M 'P 1'
_symmetry_Int_Tables_number 1
loop_
_symmetry_equiv_pos_as_xyz
'x,y,z'
loop_
_atom_site_label
_atom_site_type_symbol
_atom_site_fract_x
_atom_site_fract_y
_atom_site_fract_z
_atom_site_occupancy
Ru1 Ru 0.3384 0.0000 0.3231 1
Br1 Br 0.9955 0.0000 0.0090 1
Li1 Li 0.6661 0.0000 0.6679 1
# VASP energy, eV/atom: -18.40
# Uncorrected formation energy, meV per atom: 487

***

# TlIn2Re SCAN single point on PBEsol structure
data_TlIn2Re
_chemical_formula_sum 'Tl1 In2 Re1'
_cell_length_a 4.2618
_cell_length_b 4.2618
_cell_length_c 5.2637
_cell_angle_alpha 113.88
_cell_angle_beta 113.88
_cell_angle_gamma 90.00
_symmetry_space_group_name_H-M 'P 1'
_symmetry_Int_Tables_number 1
loop_
_symmetry_equiv_pos_as_xyz
'x,y,z'
loop_
_atom_site_label
_atom_site_type_symbol
_atom_site_fract_x
_atom_site_fract_y
_atom_site_fract_z
_atom_site_occupancy
In1 In 0.7500 0.2500 0.5000 1
In2 In 0.2500 0.7500 0.5000 1
Re1 Re 0.5000 0.5000 0.0000 1
Tl1 Tl 0.0000 0.0000 0.0000 1
# VASP energy, eV/atom: -51.80
# Excess energy over the best structure of this formula in the dataset, eV/atom: 0.000
# E_form, eV/atom: 0.75

***

# SrSiP2S SCAN single point on PBEsol structure
data_SrSiP2S
_chemical_formula_sum 'Sr1 Si1 P2 S1'
_cell_length_a 4.5832
_cell_length_b 4.5832
_cell_length_c 4.7839
_cell_angle_alpha 90.00
_cell_angle_beta 90.00
_cell_angle_gamma 90.00
_symmetry_space_group_name_H-M 'P 1'
_symmetry_Int_Tables_number 1
loop_
_symmetry_equiv_pos_as_xyz
'x,y,z'
loop_
_atom_site_label
_atom_site_type_symbol
_atom_site_fract_x
_atom_site_fract_y
_atom_site_fract_z
_atom_site_occupancy
Sr1 Sr 0.5000 0.5000 0.5000 1
S1 S 0.0000 0.0000 0.5000 1
Si1 Si 0.0000 0.0000 0.0000 1
P1 P 0.0000 0.5000 0.0000 1
P2 P 0.5000 0.0000 0.0000 1
# VASP energy, eV/atom: -12.83
# Uncorrected formation energy, meV per atom: -289

***

# SrFe2Au SCAN single point on PBEsol structure
data_SrFe2Au
_chemical_formula_sum 'Sr1 Fe2 Au1'
_cell_length_a 4.6955
_cell_length_b 4.6955
_cell_length_c 4.6955
_cell_angle_alpha 60.00
_cell_angle_beta 60.00
_cell_angle_gamma 60.00
_symmetry_space_group_name_H-M 'P 1'
_symmetry_Int_Tables_number 1
loop_
_symmetry_equiv_pos_as_xyz
'x,y,z'
loop_
_atom_site_label
_atom_site_type_symbol
_atom_site_fract_x
_atom_site_fract_y
_atom_site_fract_z
_atom_site_occupancy
Au1 Au 0.5000 0.5000 0.5000 1
Fe1 Fe 0.0000 0.0000 0.0000 1
Fe2 Fe 0.7500 0.7500 0.7500 1
Sr1 Sr 0.2500 0.2500 0.2500 1
# VASP energy, eV/atom: -31.52
# E_form, eV/atom: 0.41

***

# VCd2BiO6 SCAN single point on PBEsol structure
data_VCd2BiO6
_chemical_formula_sum 'V2 Cd4 Bi2 O12'
_cell_length_a 5.6057
_cell_length_b 7.1736
_cell_length_c 7.1736
_cell_angle_alpha 105.31
_cell_angle_beta 90.00
_cell_angle_gamma 90.00
_symmetry_space_group_name_H-M 'P 1'
_symmetry_Int_Tables_number 1
loop_
_symmetry_equiv_pos_as_xyz
'x,y,z'
loop_
_atom_site_label
_atom_site_type_symbol
_atom_site_fract_x
_atom_site_fract_y
_atom_site_fract_z
_atom_site_occupancy
V1 V 0.5132 0.1705 0.8295 1
V2 V 0.0132 0.8295 0.1705 1
Cd1 Cd 0.0223 0.3147 0.0908 1
Cd2 Cd 0.5223 0.6853 0.9092 1
Cd3 Cd 0.5223 0.0908 0.3147 1
Cd4 Cd 0.0223 0.9092 0.6853 1
Bi1 Bi 0.0412 0.4023 0.5977 1
Bi2 Bi 0.5412 0.5977 0.4023 1
O1 O 0.3695 0.3863 0.9310 1
O2 O 0.8695 0.6137 0.0690 1
O3 O 0.8695 0.9310 0.3863 1
O4 O 0.3695 0.0690 0.6137 1
O5 O 0.2816 0.3503 0.3377 1
O6 O 0.7816 0.6497 0.6623 1
O7 O 0.7816 0.3377 0.3503 1
O8 O 0.2816 0.6623 0.6497 1
O9 O 0.8161 0.2044 0.7956 1
O10 O 0.3161 0.7956 0.2044 1
O11 O 0.4926 0.0226 0.9774 1
O12 O 0.9926 0.9774 0.0226 1
# VASP energy, eV/atom: -21.19
# Uncorrected formation energy, meV per atom: -1761

***

# K2TaRh SCAN single point on PBEsol structure
data_K2TaRh
_chemical_formula_sum 'K2 Ta1 Rh1'
_cell_length_a 3.1711
_cell_length_b 3.9042
_cell_length_c 11.0973
_cell_angle_alpha 92.86
_cell_angle_beta 90.00
_cell_angle_gamma 113.96
_symmetry_space_group_name_H-M 'P 1'
_symmetry_Int_Tables_number 1
loop_
_symmetry_equiv_pos_as_xyz
'x,y,z'
loop_
_atom_site_label
_atom_site_type_symbol
_atom_site_fract_x
_atom_site_fract_y
_atom_site_fract_z
_atom_site_occupancy
K1 K 0.9977 0.9954 0.9477 1
K2 K 0.7627 0.5255 0.3298 1
Rh1 Rh 0.5093 0.0186 0.5573 1
Ta1 Ta 0.2303 0.4605 0.6652 1
# VASP energy, eV/atom: -28.79
# Excess energy over the best structure of this formula in the dataset, eV/atom: 0.000
# E_form, eV/atom: 0.47

***

# LaMn2TeSe SCAN single point on PBEsol structure
data_LaMn2TeSe
_chemical_formula_sum 'La1 Mn2 Te1 Se1'
_cell_length_a 4.7290
_cell_length_b 4.7290
_cell_length_c 5.7450
_cell_angle_alpha 90.00
_cell_angle_beta 90.00
_cell_angle_gamma 90.00
_symmetry_space_group_name_H-M 'P 1'
_symmetry_Int_Tables_number 1
loop_
_symmetry_equiv_pos_as_xyz
'x,y,z'
loop_
_atom_site_label
_atom_site_type_symbol
_atom_site_fract_x
_atom_site_fract_y
_atom_site_fract_z
_atom_site_occupancy
Mn1 Mn 0.0000 0.5000 0.0000 1
Mn2 Mn 0.5000 0.0000 0.0000 1
Te1 Te 0.0000 0.0000 0.0000 1
Se1 Se 0.0000 0.0000 0.5000 1
La1 La 0.5000 0.5000 0.5000 1
# VASP energy, eV/atom: -27.35
# Uncorrected formation energy, meV per atom: 38